Ho4Te3N2: relaxed, GGA-PBE.

As for the calculated total energy: -6.45 eV per atom. As for the energy above the most stable polymorph in this dataset: 0.000 eV per atom. For the total magnetic moment, the calculation gives 0.000 μB per atom.

Unit cell a=8.441 b=8.441 c=6.498 alpha=91.15 beta=91.15 gamma=74.47
Element x y z (fractional)
Ho1 0.060 0.669 0.975
Ho2 0.254 0.395 0.408
Ho3 0.331 0.940 0.525
Ho4 0.395 0.254 0.908
Ho5 0.605 0.746 0.092
Ho6 0.669 0.060 0.475
Ho7 0.746 0.605 0.592
Ho8 0.940 0.331 0.025
Te1 0.022 0.756 0.455
Te2 0.244 0.978 0.045
Te3 0.410 0.590 0.750
Te4 0.590 0.410 0.250
Te5 0.756 0.022 0.955
Te6 0.978 0.244 0.545
N1 0.168 0.411 0.077
N2 0.411 0.168 0.577
N3 0.589 0.832 0.423
N4 0.832 0.589 0.923

=====

Ho3Te3N: relaxed, GGA-PBE.

As for the calculated total energy: -6.00 eV per atom. For the total magnetic moment, the calculation gives 0.000 μB per atom.

Unit cell a=8.092 b=11.977 c=8.630 alpha=90.00 beta=109.12 gamma=90.00
Element x y z (fractional)
Ho1 0.100 0.022 0.361
Ho2 0.100 0.478 0.861
Ho3 0.267 0.709 0.153
Ho4 0.267 0.791 0.653
Ho5 0.340 0.087 0.795
Ho6 0.340 0.413 0.295
Ho7 0.660 0.587 0.705
Ho8 0.660 0.913 0.205
Ho9 0.733 0.209 0.347
Ho10 0.733 0.291 0.847
Ho11 0.900 0.522 0.139
Ho12 0.900 0.978 0.639
Te1 0.008 0.234 0.689
Te2 0.008 0.266 0.189
Te3 0.274 0.521 0.585
Te4 0.274 0.979 0.085
Te5 0.452 0.193 0.517
Te6 0.452 0.307 0.017
Te7 0.548 0.693 0.983
Te8 0.548 0.807 0.483
Te9 0.726 0.021 0.915
Te10 0.726 0.479 0.415
Te11 0.992 0.734 0.811
Te12 0.992 0.766 0.311
N1 0.174 0.535 0.123
N2 0.174 0.965 0.623
N3 0.826 0.035 0.377
N4 0.826 0.465 0.877

=====

Ho3TeN: relaxed, GGA-PBE.

As for the calculated total energy: -6.07 eV per atom. For the total magnetic moment, the calculation gives 0.000 μB per atom.

Unit cell a=6.976 b=3.939 c=10.332 alpha=90.00 beta=96.91 gamma=90.00
Element x y z (fractional)
Ho1 0.130 0.250 0.106
Ho2 0.184 0.750 0.455
Ho3 0.254 0.250 0.766
Ho4 0.746 0.750 0.234
Ho5 0.816 0.250 0.545
Ho6 0.870 0.750 0.894
Te1 0.455 0.250 0.332
Te2 0.545 0.750 0.668
N1 0.027 0.250 0.889
N2 0.973 0.750 0.111

=====

Question: Which of these has the lowest calculated total energy?
Answer: Ho4Te3N2

=====

Question: What is the total magnetic moment in the first record?
Answer: 0.000 μB per atom

=====

Question: calculated total energy of number 2 (Ho3Te3N)?
Answer: -6.00 eV per atom